# 1
VSi2S2: relaxed, PBE.

Calculated values
- Raw total energy: -5.460 eV/atom
- Calculated volume: 84.2 Å³/f.u.
- Crystal system: tetragonal
- Formation energy without anion corrections: 0.18 eV per atom
- Energy relative to the lowest polymorph listed for this composition: 3.6 kJ per mole of atoms
- ρ: 3.4 g cm⁻³

CIF file:
```
data_VSi2S2
_space_group_name_H-M_alt 'P 1'
_space_group_IT_number 1
_space_group_name_Hall 'P 1'
_cell_length_a 6.808
_cell_length_b 6.808
_cell_length_c 3.635
_cell_angle_alpha 90.00
_cell_angle_beta 90.00
_cell_angle_gamma 90.00
loop_
_atom_site_label
_atom_site_type_symbol
_atom_site_fract_x
_atom_site_fract_y
_atom_site_fract_z
_atom_site_occupancy
S1 S 0.677 0.177 0.000 1
Si1 Si 0.832 0.332 0.500 1
S2 S 0.323 0.823 0.000 1
Si2 Si 0.332 0.168 0.500 1
Si3 Si 0.168 0.668 0.500 1
Si4 Si 0.668 0.832 0.500 1
V1 V 0.500 0.500 0.000 1
S3 S 0.177 0.323 0.000 1
S4 S 0.823 0.677 0.000 1
V2 V 0.000 0.000 0.000 1
```

=====

# 2
Pm3NdHo5: relaxed, PBE.

Calculated values
- Raw total energy: -4.370 eV/atom
- Energy relative to the elements: 28 kJ/mol of atoms
- Calculated volume: 309.3 Å³/f.u.
- Crystal system: monoclinic
- Energy relative to the lowest polymorph listed for this composition: 3.1 kJ per mole of atoms
- ρ: 7.5 g cm⁻³

CIF file:
```
data_Pm3NdHo5
_space_group_name_H-M_alt 'P 1'
_space_group_IT_number 1
_space_group_name_Hall 'P 1'
_cell_length_a 6.351
_cell_length_b 9.737
_cell_length_c 11.411
_cell_angle_alpha 110.72
_cell_angle_beta 90.00
_cell_angle_gamma 109.03
loop_
_atom_site_label
_atom_site_type_symbol
_atom_site_fract_x
_atom_site_fract_y
_atom_site_fract_z
_atom_site_occupancy
Pm1 Pm 0.000 0.000 0.500 1
Ho1 Ho 0.453 0.339 0.711 1
Ho2 Ho 0.547 0.661 0.289 1
Pm2 Pm 0.000 0.000 0.000 1
Ho3 Ho 0.537 0.677 0.983 1
Ho4 Ho 0.118 0.000 0.750 1
Ho5 Ho 0.882 0.000 0.250 1
Pm3 Pm 0.359 0.341 0.372 1
Pm4 Pm 0.017 0.659 0.128 1
Ho6 Ho 0.140 0.677 0.483 1
Pm5 Pm 0.983 0.341 0.872 1
Ho7 Ho 0.463 0.323 0.017 1
Pm6 Pm 0.641 0.659 0.628 1
Nd1 Nd 0.409 0.000 0.250 1
Ho8 Ho 0.885 0.339 0.211 1
Nd2 Nd 0.591 0.000 0.750 1
Ho9 Ho 0.860 0.323 0.517 1
Ho10 Ho 0.115 0.661 0.789 1
```

=====

# 3
Pr14HoPb: relaxed, PBE.

Calculated values
- Raw total energy: -4.756 eV/atom
- Energy relative to the elements: -5 kJ/mol of atoms
- Calculated volume: 558.4 Å³/f.u.
- Crystal system: orthorhombic
- ρ: 7.0 g cm⁻³

CIF file:
```
data_Pr14HoPb
_space_group_name_H-M_alt 'P 1'
_space_group_IT_number 1
_space_group_name_Hall 'P 1'
_cell_length_a 7.323
_cell_length_b 7.323
_cell_length_c 10.412
_cell_angle_alpha 90.00
_cell_angle_beta 90.00
_cell_angle_gamma 89.99
loop_
_atom_site_label
_atom_site_type_symbol
_atom_site_fract_x
_atom_site_fract_y
_atom_site_fract_z
_atom_site_occupancy
Pr1 Pr 0.127 0.377 0.756 1
Pr2 Pr 0.623 0.873 0.244 1
Pb1 Pb 0.375 0.625 0.000 1
Pr3 Pr 0.623 0.377 0.245 1
Pr4 Pr 0.623 0.377 0.755 1
Pr5 Pr 0.127 0.377 0.244 1
Pr6 Pr 0.875 0.625 0.500 1
Pr7 Pr 0.127 0.873 0.244 1
Pr8 Pr 0.127 0.873 0.756 1
Ho1 Ho 0.875 0.125 0.000 1
Pr9 Pr 0.375 0.625 0.500 1
Pr10 Pr 0.375 0.125 0.000 1
Pr11 Pr 0.375 0.125 0.500 1
Pr12 Pr 0.623 0.873 0.756 1
Pr13 Pr 0.875 0.625 0.000 1
Pr14 Pr 0.875 0.125 0.500 1
```

=====

# 4
Pu3CdPt8: relaxed, PBE.

Calculated values
- Raw total energy: -8.434 eV/atom
- Energy relative to the elements: -72 kJ/mol of atoms
- Calculated volume: 226.5 Å³/f.u.
- Crystal system: trigonal
- ρ: 17.6 g cm⁻³

CIF file:
```
data_Pu3CdPt8
_space_group_name_H-M_alt 'P 1'
_space_group_IT_number 1
_space_group_name_Hall 'P 1'
_cell_length_a 5.433
_cell_length_b 5.433
_cell_length_c 9.399
_cell_angle_alpha 73.20
_cell_angle_beta 73.20
_cell_angle_gamma 60.00
loop_
_atom_site_label
_atom_site_type_symbol
_atom_site_fract_x
_atom_site_fract_y
_atom_site_fract_z
_atom_site_occupancy
Pt1 Pt 0.937 0.937 0.688 1
Cd1 Cd 0.874 0.874 0.379 1
Pt2 Pt 0.437 0.939 0.187 1
Pt3 Pt 0.939 0.437 0.187 1
Pu1 Pu 0.998 0.998 0.007 1
Pu2 Pu 0.376 0.376 0.873 1
Pt4 Pt 0.437 0.437 0.187 1
Pu3 Pu 0.502 0.502 0.493 1
Pt5 Pt 0.687 0.687 0.938 1
Pt6 Pt 0.188 0.188 0.437 1
Pt7 Pt 0.437 0.937 0.688 1
Pt8 Pt 0.937 0.437 0.688 1
```

=====

# 5
PaGa7Co2: relaxed, PBE.

Calculated values
- Raw total energy: -4.539 eV/atom
- Energy relative to the elements: -5 kJ/mol of atoms
- Calculated volume: 191.2 Å³/f.u.
- Crystal system: orthorhombic
- ρ: 7.3 g cm⁻³

CIF file:
```
data_PaGa7Co2
_space_group_name_H-M_alt 'P 1'
_space_group_IT_number 1
_space_group_name_Hall 'P 1'
_cell_length_a 4.433
_cell_length_b 6.627
_cell_length_c 6.627
_cell_angle_alpha 100.85
_cell_angle_beta 90.00
_cell_angle_gamma 90.00
loop_
_atom_site_label
_atom_site_type_symbol
_atom_site_fract_x
_atom_site_fract_y
_atom_site_fract_z
_atom_site_occupancy
Ga1 Ga 0.500 0.901 0.649 1
Co1 Co 0.500 0.733 0.267 1
Pa1 Pa 0.000 0.000 0.000 1
Ga2 Ga 0.000 0.305 0.695 1
Ga3 Ga 0.500 0.099 0.351 1
Ga4 Ga 0.500 0.649 0.901 1
Co2 Co 0.500 0.267 0.733 1
Ga5 Ga 0.500 0.500 0.500 1
Ga6 Ga 0.000 0.695 0.305 1
Ga7 Ga 0.500 0.351 0.099 1
```

=====

# 6
Rb2ThF8: relaxed, PBE.

Calculated values
- Raw total energy: -5.049 eV/atom
- Calculated volume: 193.7 Å³/f.u.
- Crystal system: orthorhombic
- Formation energy without anion corrections: -2.84 eV per atom
- ρ: 4.8 g cm⁻³

CIF file:
```
data_Rb2ThF8
_space_group_name_H-M_alt 'P 1'
_space_group_IT_number 1
_space_group_name_Hall 'P 1'
_cell_length_a 4.400
_cell_length_b 6.697
_cell_length_c 7.698
_cell_angle_alpha 115.79
_cell_angle_beta 106.61
_cell_angle_gamma 90.00
loop_
_atom_site_label
_atom_site_type_symbol
_atom_site_fract_x
_atom_site_fract_y
_atom_site_fract_z
_atom_site_occupancy
Rb1 Rb 0.819 0.319 0.637 1
F1 F 0.899 0.899 0.797 1
F2 F 0.101 0.101 0.203 1
Th1 Th 0.500 0.000 0.000 1
F3 F 0.000 0.728 0.000 1
F4 F 0.630 0.355 0.259 1
F5 F 0.630 0.904 0.259 1
F6 F 0.370 0.645 0.741 1
F7 F 0.370 0.096 0.741 1
Rb2 Rb 0.181 0.681 0.363 1
F8 F 0.000 0.272 0.000 1
```

=====

# 7
Ca2GePd6Pb: relaxed, PBE.

Calculated values
- Raw total energy: -4.855 eV/atom
- Energy relative to the elements: -49 kJ/mol of atoms
- Calculated volume: 197.3 Å³/f.u.
- Crystal system: triclinic
- ρ: 8.4 g cm⁻³

CIF file:
```
data_Ca2GePd6Pb
_space_group_name_H-M_alt 'P 1'
_space_group_IT_number 1
_space_group_name_Hall 'P 1'
_cell_length_a 5.595
_cell_length_b 9.065
_cell_length_c 6.790
_cell_angle_alpha 44.98
_cell_angle_beta 65.60
_cell_angle_gamma 90.07
loop_
_atom_site_label
_atom_site_type_symbol
_atom_site_fract_x
_atom_site_fract_y
_atom_site_fract_z
_atom_site_occupancy
Pb1 Pb 0.500 0.500 0.000 1
Ca1 Ca 0.251 0.746 0.499 1
Ge1 Ge 0.000 0.000 0.000 1
Pd1 Pd 0.306 0.826 0.879 1
Pd2 Pd 0.754 0.569 0.492 1
Pd3 Pd 0.246 0.431 0.508 1
Pd4 Pd 0.694 0.174 0.121 1
Pd5 Pd 0.817 0.826 0.877 1
Pd6 Pd 0.183 0.174 0.123 1
Ca2 Ca 0.749 0.254 0.501 1
```

=====

# 8
Cs8KAu4: relaxed, PBE.

Calculated values
- Raw total energy: -1.822 eV/atom
- Energy relative to the elements: -20 kJ/mol of atoms
- Calculated volume: 889.5 Å³/f.u.
- Crystal system: tetragonal
- Energy relative to the lowest polymorph listed for this composition: 0.0 kJ per mole of atoms
- ρ: 3.5 g cm⁻³

CIF file:
```
data_Cs8KAu4
_space_group_name_H-M_alt 'P 1'
_space_group_IT_number 1
_space_group_name_Hall 'P 1'
_cell_length_a 5.264
_cell_length_b 13.262
_cell_length_c 13.262
_cell_angle_alpha 87.74
_cell_angle_beta 78.55
_cell_angle_gamma 78.55
loop_
_atom_site_label
_atom_site_type_symbol
_atom_site_fract_x
_atom_site_fract_y
_atom_site_fract_z
_atom_site_occupancy
Cs1 Cs 0.041 0.294 0.623 1
Cs2 Cs 0.648 0.664 0.040 1
Cs3 Cs 0.688 0.960 0.664 1
Cs4 Cs 0.312 0.040 0.336 1
Au1 Au 0.844 0.480 0.833 1
Cs5 Cs 0.352 0.336 0.960 1
Cs6 Cs 0.959 0.706 0.377 1
Au2 Au 0.323 0.833 0.520 1
K1 K 0.000 0.000 0.000 1
Au3 Au 0.156 0.520 0.167 1
Au4 Au 0.677 0.167 0.480 1
Cs7 Cs 0.665 0.377 0.294 1
Cs8 Cs 0.335 0.623 0.706 1
```

=====

# 9
HfV2Ge2: relaxed, PBE.

Calculated values
- Raw total energy: -7.860 eV/atom
- Energy relative to the elements: -36 kJ/mol of atoms
- Calculated volume: 80.2 Å³/f.u.
- Crystal system: tetragonal
- Energy relative to the lowest polymorph listed for this composition: 0.0 kJ per mole of atoms
- ρ: 8.8 g cm⁻³

CIF file:
```
data_HfV2Ge2
_space_group_name_H-M_alt 'P 1'
_space_group_IT_number 1
_space_group_name_Hall 'P 1'
_cell_length_a 3.747
_cell_length_b 3.748
_cell_length_c 6.295
_cell_angle_alpha 107.27
_cell_angle_beta 107.31
_cell_angle_gamma 90.00
loop_
_atom_site_label
_atom_site_type_symbol
_atom_site_fract_x
_atom_site_fract_y
_atom_site_fract_z
_atom_site_occupancy
Ge1 Ge 0.394 0.394 0.789 1
V1 V 0.750 0.250 0.500 1
Hf1 Hf 0.000 0.000 0.000 1
Ge2 Ge 0.606 0.606 0.211 1
V2 V 0.250 0.750 0.500 1
```

=====

# 10
W2BrCl: relaxed, PBE.

Calculated values
- Raw total energy: -6.959 eV/atom
- Calculated volume: 88.7 Å³/f.u.
- Crystal system: orthorhombic
- Formation energy without anion corrections: 0.40 eV per atom
- Energy relative to the lowest polymorph listed for this composition: 45.1 kJ per mole of atoms
- ρ: 9.0 g cm⁻³

CIF file:
```
data_W2BrCl
_space_group_name_H-M_alt 'P 1'
_space_group_IT_number 1
_space_group_name_Hall 'P 1'
_cell_length_a 3.131
_cell_length_b 3.131
_cell_length_c 9.998
_cell_angle_alpha 90.00
_cell_angle_beta 90.00
_cell_angle_gamma 115.15
loop_
_atom_site_label
_atom_site_type_symbol
_atom_site_fract_x
_atom_site_fract_y
_atom_site_fract_z
_atom_site_occupancy
Cl1 Cl 0.500 0.500 0.825 1
Br1 Br 0.000 0.000 0.434 1
W1 W 0.000 0.000 0.028 1
W2 W 0.500 0.500 0.213 1
```

=====

# 11
ScSe2S: relaxed, PBE.

Calculated values
- Raw total energy: -4.685 eV/atom
- Calculated volume: 102.5 Å³/f.u.
- Crystal system: tetragonal
- Formation energy without anion corrections: -0.33 eV per atom
- ρ: 3.8 g cm⁻³

CIF file:
```
data_ScSe2S
_space_group_name_H-M_alt 'P 1'
_space_group_IT_number 1
_space_group_name_Hall 'P 1'
_cell_length_a 5.098
_cell_length_b 5.098
_cell_length_c 8.671
_cell_angle_alpha 72.90
_cell_angle_beta 72.90
_cell_angle_gamma 90.00
loop_
_atom_site_label
_atom_site_type_symbol
_atom_site_fract_x
_atom_site_fract_y
_atom_site_fract_z
_atom_site_occupancy
Sc1 Sc 0.750 0.250 0.500 1
S1 S 0.500 0.500 0.000 1
S2 S 0.250 0.750 0.500 1
Se1 Se 0.375 0.374 0.750 1
Se2 Se 0.626 0.125 0.250 1
Se3 Se 0.124 0.625 0.250 1
Se4 Se 0.875 0.876 0.750 1
Sc2 Sc 0.000 0.000 0.000 1
```